# 1
# KZnCu2 PBE optimized geometry
data_KZnCu2
_cell_length_a 4.532
_cell_length_b 4.532
_cell_length_c 3.940
_cell_angle_alpha 90.00
_cell_angle_beta 90.00
_cell_angle_gamma 90.00
_symmetry_space_group_name_H-M 'P 1'
_symmetry_Int_Tables_number 1
loop_
_symmetry_equiv_pos_as_xyz
'x,y,z'
loop_
_atom_site_label
_atom_site_fract_x
_atom_site_fract_y
_atom_site_fract_z
_atom_site_occupancy
K1 0.000 0.000 0.000 1
Zn1 0.500 0.500 0.000 1
Cu1 0.000 0.500 0.500 1
Cu2 0.500 0.000 0.500 1
# Space-group type: P4/mmm (123)
# Calculated formation energy: 0.625 eV per atom
# Total magnetization: 0.0 μB per formula unit
# Total DFT energy (no corrections): -2.02 eV/atom
# V: 80.9 Å³/cell


# 2
# Ca4BP4 PBE optimized geometry
data_Ca4BP4
_cell_length_a 8.093
_cell_length_b 8.093
_cell_length_c 5.894
_cell_angle_alpha 90.00
_cell_angle_beta 90.00
_cell_angle_gamma 90.00
_symmetry_space_group_name_H-M 'P 1'
_symmetry_Int_Tables_number 1
loop_
_symmetry_equiv_pos_as_xyz
'x,y,z'
loop_
_atom_site_label
_atom_site_fract_x
_atom_site_fract_y
_atom_site_fract_z
_atom_site_occupancy
Ca1 0.014 0.250 0.061 1
Ca2 0.250 0.014 0.561 1
Ca3 0.250 0.486 0.561 1
Ca4 0.486 0.250 0.061 1
Ca5 0.514 0.750 0.939 1
Ca6 0.750 0.514 0.439 1
Ca7 0.750 0.986 0.439 1
Ca8 0.986 0.750 0.939 1
B1 0.250 0.750 0.250 1
B2 0.750 0.250 0.750 1
P1 0.031 0.750 0.438 1
P2 0.250 0.531 0.062 1
P3 0.250 0.969 0.062 1
P4 0.469 0.750 0.438 1
P5 0.531 0.250 0.562 1
P6 0.750 0.031 0.938 1
P7 0.750 0.469 0.938 1
P8 0.969 0.250 0.562 1
# Space-group type: P4_2/nmc (137)
# Calculated formation energy: -0.878 eV per atom
# Total magnetization: 0.0 μB per formula unit
# Total DFT energy (no corrections): -4.91 eV/atom
# V: 386.1 Å³/cell


# 3
# Er12Al5Ag2 PBE optimized geometry
data_Er12Al5Ag2
_cell_length_a 8.508
_cell_length_b 8.508
_cell_length_c 8.232
_cell_angle_alpha 91.39
_cell_angle_beta 91.39
_cell_angle_gamma 58.34
_symmetry_space_group_name_H-M 'P 1'
_symmetry_Int_Tables_number 1
loop_
_symmetry_equiv_pos_as_xyz
'x,y,z'
loop_
_atom_site_label
_atom_site_fract_x
_atom_site_fract_y
_atom_site_fract_z
_atom_site_occupancy
Er1 0.037 0.037 0.203 1
Er2 0.082 0.633 0.083 1
Er3 0.131 0.527 0.653 1
Er4 0.367 0.918 0.917 1
Er5 0.441 0.441 0.340 1
Er6 0.473 0.869 0.347 1
Er7 0.527 0.131 0.653 1
Er8 0.559 0.559 0.660 1
Er9 0.633 0.082 0.083 1
Er10 0.869 0.473 0.347 1
Er11 0.918 0.367 0.917 1
Er12 0.963 0.963 0.797 1
Al1 0.151 0.151 0.584 1
Al2 0.243 0.243 0.198 1
Al3 0.500 0.500 0.000 1
Al4 0.757 0.757 0.802 1
Al5 0.849 0.849 0.416 1
Ag1 0.187 0.813 0.500 1
Ag2 0.813 0.187 0.500 1
# Space-group type: C2/m (12)
# Calculated formation energy: -0.074 eV per atom
# Total magnetization: 0.0 μB per formula unit
# Total DFT energy (no corrections): -4.24 eV/atom
# V: 507.1 Å³/cell


# 4
# PaTlTcO6 PBE optimized geometry
data_PaTlTcO6
_cell_length_a 7.692
_cell_length_b 7.692
_cell_length_c 7.692
_cell_angle_alpha 122.68
_cell_angle_beta 118.13
_cell_angle_gamma 89.35
_symmetry_space_group_name_H-M 'P 1'
_symmetry_Int_Tables_number 1
loop_
_symmetry_equiv_pos_as_xyz
'x,y,z'
loop_
_atom_site_label
_atom_site_fract_x
_atom_site_fract_y
_atom_site_fract_z
_atom_site_occupancy
Pa1 0.000 0.000 0.000 1
Pa2 0.500 0.000 0.500 1
Tl1 0.408 0.658 0.750 1
Tl2 0.592 0.342 0.250 1
Tc1 0.000 0.000 0.500 1
Tc2 0.000 0.500 0.000 1
O1 0.037 0.287 0.750 1
O2 0.053 0.338 0.132 1
O3 0.053 0.921 0.716 1
O4 0.294 0.079 0.632 1
O5 0.294 0.662 0.216 1
O6 0.335 0.085 0.250 1
O7 0.665 0.915 0.750 1
O8 0.706 0.338 0.784 1
O9 0.706 0.921 0.368 1
O10 0.947 0.079 0.284 1
O11 0.947 0.662 0.868 1
O12 0.963 0.713 0.250 1
# Space-group type: Imma (74)
# Uncorrected formation energy: -2052 meV/atom
# Total magnetization: 0.0 μB per formula unit
# Total DFT energy (no corrections): -7.83 eV/atom
# V: 319.2 Å³/cell


Q: Which value of total DFT energy (no corrections) does entry 1 give?
A: -2.02 eV/atom


Q: Which of these has the lowest total DFT energy (no corrections)?
A: PaTlTcO6